Record 1
LaDyMgAg | GGA-PBE | relaxed

Geometry as POSCAR:
```
LaDyMgAg
1.0
0.0000 3.8078 3.8078
3.8078 0.0000 3.8078
3.8078 3.8078 0.0000
La Dy Mg Ag
1 1 1 1
Direct
0.0000 0.0000 0.0000
0.5000 0.5000 0.5000
0.7500 0.7500 0.7500
0.2500 0.2500 0.2500
```

Output
- ΔE to the lowest computed polymorph: 0.204 eV/f.u.
- DFT formation energy: -52 kJ/mol of formula units

---

Record 2
AlSn3Bi | GGA-PBE | relaxed

Geometry as POSCAR:
```
AlSn3Bi
1.0
5.3252 0.0000 0.0000
0.0000 5.3252 0.0000
0.0000 0.0000 5.3252
Al Sn Bi
1 3 1
Direct
0.0000 0.0000 0.0000
0.0000 0.0000 0.5000
0.0000 0.5000 0.0000
0.5000 0.0000 0.0000
0.5000 0.5000 0.5000
```

Output
- ΔE to the lowest computed polymorph: 0.000 eV/f.u.
- DFT formation energy: 154 kJ/mol of formula units

---

Record 3
Sc4Bi2H | GGA-PBE | relaxed

Geometry as POSCAR:
```
Sc4Bi2H
1.0
-2.1430 2.1430 8.0401
2.1430 -2.1430 8.0401
2.1430 2.1430 -8.0401
Sc Bi H
4 2 1
Direct
0.0000 0.5000 0.5000
0.1737 0.1737 0.0000
0.5000 0.0000 0.5000
0.8263 0.8263 0.0000
0.3601 0.3601 0.0000
0.6399 0.6399 0.0000
0.0000 0.0000 0.0000
```

Output
- ΔE to the lowest computed polymorph: 0.000 eV/f.u.

---

Record 4
TaRh4Au | GGA-PBE | relaxed

Geometry as POSCAR:
```
TaRh4Au
1.0
0.0000 3.6158 3.6158
3.6158 0.0000 3.6158
3.6158 3.6158 0.0000
Ta Rh Au
1 4 1
Direct
0.0000 0.0000 0.0000
0.3752 0.3752 0.3752
0.3752 0.3752 0.8744
0.3752 0.8744 0.3752
0.8744 0.3752 0.3752
0.7500 0.7500 0.7500
```

Output
- DFT formation energy: -32 kJ/mol of formula units

---

Record 5
CrAsOs4 | GGA-PBE | relaxed

Geometry as POSCAR:
```
CrAsOs4
1.0
0.0000 3.6634 3.6634
3.6634 0.0000 3.6634
3.6634 3.6634 0.0000
Cr As Os
1 1 4
Direct
0.0000 0.0000 0.0000
0.2500 0.2500 0.2500
0.1237 0.6254 0.6254
0.6254 0.1237 0.6254
0.6254 0.6254 0.1237
0.6254 0.6254 0.6254
```

Output
- DFT formation energy: 506 kJ/mol of formula units

---

Record 6
CuTc2Os | GGA-PBE | relaxed

Geometry as POSCAR:
```
CuTc2Os
1.0
2.7092 0.0000 0.0000
0.0000 3.8924 0.0000
0.0000 0.0000 5.2815
Cu Tc Os
1 2 1
Direct
0.0000 0.0000 0.0000
0.5000 0.5000 0.2437
0.5000 0.5000 0.7563
0.0000 0.0000 0.5000
```

Output
- ΔE to the lowest computed polymorph: 0.000 eV/f.u.
- DFT formation energy: 61 kJ/mol of formula units

---

no.,electronic total energy (eV per cell)
1,-14.511
2,-18.033
3,-40.274
4,-44.872
5,-53.951
6,-35.430